Record 1
TaIr5RuW2 | Alexandria via LeMat-Bulk | GGA-PBE | relaxed; uncorrected energy = -175.1 eV/cell; space group = I4/mcm (140)
1.0
-3.7257 3.7257 5.3909
3.7257 -3.7257 5.3909
3.7257 3.7257 -5.3909
Ta Ir Ru W
2 10 2 4
Direct
0.2500 0.2500 0.0000 Ta
0.7500 0.7500 0.0000 Ta
0.0000 0.0000 0.0000 Ir
0.0674 0.5674 0.8932 Ir
0.1742 0.0674 0.5000 Ir
0.3258 0.8258 0.8932 Ir
0.4326 0.3258 0.5000 Ir
0.5000 0.5000 0.0000 Ir
0.5674 0.6742 0.5000 Ir
0.6742 0.1742 0.1068 Ir
0.8258 0.9326 0.5000 Ir
0.9326 0.4326 0.1068 Ir
0.2500 0.7500 0.5000 Ru
0.7500 0.2500 0.5000 Ru
0.1128 0.3872 0.5000 W
0.3872 0.8872 0.2743 W
0.6128 0.1128 0.7257 W
0.8872 0.6128 0.5000 W

---

Record 2
BeAg2PbN | Alexandria via LeMat-Bulk | GGA-PBE | relaxed; ΔE_f (raw) = 0.313 eV/atom; space group = P4/mmm (123)
1.0
5.3147 0.0000 0.0000
0.0000 5.3147 0.0000
0.0000 0.0000 3.1184
Be Ag Pb N
1 2 1 1
Direct
0.0000 0.0000 0.0000 Be
0.0000 0.5000 0.0000 Ag
0.5000 0.0000 0.0000 Ag
0.5000 0.5000 0.5000 Pb
0.0000 0.0000 0.5000 N

---

Record 3
GaPb4Se6 | Alexandria via LeMat-Bulk | GGA-PBE | relaxed; ΔE_f (raw) = -0.458 eV/atom; space group = Cc (9)
1.0
7.6740 -3.9321 0.0000
7.6740 3.9321 0.0000
-6.4166 0.0000 12.0991
Ga Pb Se
2 8 12
Direct
0.2220 0.7780 0.5000 Ga
0.7780 0.2220 0.0000 Ga
0.2369 0.9170 0.2596 Pb
0.2423 0.3098 0.5735 Pb
0.2889 0.6422 0.9078 Pb
0.3098 0.2423 0.0735 Pb
0.6249 0.8330 0.7630 Pb
0.6422 0.2889 0.4078 Pb
0.8330 0.6249 0.2630 Pb
0.9170 0.2369 0.7595 Pb
0.0229 0.5015 0.7343 Se
0.1857 0.6314 0.3026 Se
0.2992 0.9665 0.8670 Se
0.4464 0.5144 0.6009 Se
0.4538 0.8862 0.5403 Se
0.5015 0.0229 0.2343 Se
0.5144 0.4464 0.1009 Se
0.6314 0.1857 0.8026 Se
0.8862 0.4538 0.0403 Se
0.9018 0.9827 0.5396 Se
0.9665 0.2992 0.3670 Se
0.9827 0.9018 0.0396 Se

---

Record 4
Rb5Hg5Pt2 | Alexandria via LeMat-Bulk | GGA-PBE | relaxed; uncorrected energy = -20.8 eV/cell; space group = C2/m (12)
1.0
9.2288 -2.3742 0.0000
9.2288 2.3742 0.0000
-8.6546 0.0000 10.6639
Rb Hg Pt
5 5 2
Direct
0.0000 0.0000 0.0000 Rb
0.3021 0.3021 0.4281 Rb
0.3802 0.3802 0.1755 Rb
0.6198 0.6198 0.8245 Rb
0.6979 0.6979 0.5719 Rb
0.0000 0.0000 0.5000 Hg
0.0646 0.0646 0.3084 Hg
0.2941 0.2941 0.8369 Hg
0.7059 0.7059 0.1631 Hg
0.9354 0.9354 0.6916 Hg
0.3862 0.3862 0.7407 Pt
0.6138 0.6138 0.2593 Pt